# PBE CaSnHg2, optimized geometry
data_CaSnHg2
_chemical_formula_sum 'Ca1 Sn1 Hg2'
_symmetry_space_group_name_H-M 'P 4/m m m'
_symmetry_Int_Tables_number 123
_symmetry_space_group_name_Hall '-P 4 2'
_cell_length_a 4.7180
_cell_length_b 4.7180
_cell_length_c 4.6258
_cell_angle_alpha 90.00
_cell_angle_beta 90.00
_cell_angle_gamma 90.00
loop_
_atom_site_label
_atom_site_type_symbol
_atom_site_fract_x
_atom_site_fract_y
_atom_site_fract_z
Ca1 Ca 0.0000 0.0000 0.0000
Sn1 Sn 0.5000 0.5000 0.0000
Hg1 Hg 0.0000 0.5000 0.5000
# **Total magnetization**: 0.00 μB/f.u.
# **E**: -2.003 eV per atom